Below is crystalline HoTmAlPd at its relaxed geometry, with properties calculated at the PBE level.

abc: 5.011 5.011 5.011
angles: 60.00 60.00 60.00
Atoms (fractional coordinates):
Pd  0.000  0.000  0.000
Tm  0.750  0.750  0.750
Ho  0.250  0.250  0.250
Al  0.500  0.500  0.500

Calculated volume, Å³ per atom: 22.2
ΔH_f (0 K), kJ/mol of formula units: -232